# 1
Er2TiHg | PBE-GGA | relaxed

It has space group P4/mmm (No. 123), with a = 5.014 Å, b = 5.014 Å, c = 3.887 Å, α = 90.00°, β = 90.00° and γ = 90.00°. The distinct sites, in fractional coordinates, are Er at (0.000, 0.500, 0.000), Ti at (0.000, 0.000, 0.500) and Hg at (0.500, 0.500, 0.500).

For the mass density, the calculation gives 9.91 g/cm³. Its magnetic moment is 0.6919 μB per atom. As for the density of states at the Fermi level: 1.34 states/eV/atom. The value obtained for the energy is -17.60 eV per cell. Its energy above the most stable polymorph in this dataset is 0.059 eV per atom. The calculation puts the energy of formation from the pure elements at -0.068 eV per atom.


# 2
Er2TiHg | PBE-GGA | relaxed

It has space group R-3m (No. 166, hexagonal axes), with a = 3.3341 Å, b = 3.3341 Å, c = 32.8035 Å, α = 90.00°, β = 90.00° and γ = 120.00°. The distinct sites, in fractional coordinates, are Er at (0.0000, 0.0000, 0.0898), Ti at (0.0000, 0.0000, 0.0000) and Hg at (0.0000, 0.0000, 0.5000).

For the mass density, the calculation gives 9.20 g/cm³. Its magnetic moment is 0.6054 μB per atom. As for the density of states at the Fermi level: 1.34 states/eV/atom. The value obtained for the energy is -48.37 eV per cell. Its energy above the most stable polymorph in this dataset is 0.427 eV per atom. The calculation puts the energy of formation from the pure elements at 0.300 eV per atom.


# 3
ErTiHg | PBE-GGA | relaxed

It has space group P4/nmm (No. 129, origin choice 2), with a = 4.324 Å, b = 4.324 Å, c = 7.451 Å, α = 90.00°, β = 90.00° and γ = 90.00°. The distinct sites, in fractional coordinates, are Er at (0.250, 0.250, 0.159), Ti at (0.250, 0.750, 0.500) and Hg at (0.250, 0.250, 0.752).

For the mass density, the calculation gives 9.91 g/cm³. Its magnetic moment is 0.0002 μB per atom. As for the density of states at the Fermi level: 1.34 states/eV/atom. The value obtained for the energy is -26.32 eV per cell. The calculation puts the energy of formation from the pure elements at -0.133 eV per atom.